# Ce2PmRh2

Ce2PmRh2 after structural relaxation (PBE, Alexandria via LeMat-Bulk).

Computed properties:
As for the space group: P-1. The calculation puts the formation energy at -0.57 eV/atom.

a b c (Å): 5.145 6.080 9.245
angles (deg): 82.94 64.51 63.87
Last column: magnetic moment on the atom in μB.
Sites, in units of the cell vectors:
Ce (0.090, 0.586, 0.339)  0.55
Ce (0.072, 0.736, 0.898)  0.10
Ce (0.910, 0.414, 0.661)  0.55
Ce (0.928, 0.264, 0.102)  0.10
Pm (0.411, 0.960, 0.317)  0.02
Pm (0.589, 0.040, 0.683)  0.02
Rh (0.312, 0.720, 0.599)  -0.02
Rh (0.510, 0.254, 0.001)  -0.01
Rh (0.490, 0.746, 0.999)  -0.01
Rh (0.688, 0.280, 0.401)  -0.02